[1]
A plane-wave DFT calculation with GGA-PBE was carried out for a relaxed structure of RbNaGe2.

Unit cell a=5.428 b=5.428 c=5.428 alpha=60.00 beta=60.00 gamma=60.00
Positions (direct):
Ge 0.750 0.750 0.750
Ge 0.250 0.250 0.250
Rb 0.500 0.500 0.500
Na 0.000 0.000 0.000

Calculated values
The volume comes out at 28.3 Å³/atom. The total magnetic moment comes out at 0.000 μB per cell. The formation energy is 37.3 kJ per mole of atoms. As for the total energy: -2.49 eV/atom.

=====

[2]
A plane-wave DFT calculation with GGA-PBE was carried out for a relaxed structure of Sc2Bi2Se.

Unit cell a=7.396 b=7.396 c=4.628 alpha=90.00 beta=90.00 gamma=90.00
Positions (direct):
Sc 0.333 0.833 0.000
Sc 0.833 0.667 0.000
Sc 0.667 0.167 0.000
Sc 0.167 0.333 0.000
Se 0.000 0.000 0.000
Se 0.500 0.500 0.000
Bi 0.354 0.146 0.500
Bi 0.646 0.854 0.500
Bi 0.854 0.354 0.500
Bi 0.146 0.646 0.500

Calculated values
The volume comes out at 25.3 Å³/atom. Its raw formation energy is -66.94 kJ per mole of atoms. The total magnetic moment comes out at 0.000 μB per cell. As for the total energy: -5.48 eV/atom.

=====

[3]
A plane-wave DFT calculation with GGA-PBE was carried out for a relaxed structure of HfAs3Br.

Unit cell a=5.163 b=5.163 c=5.163 alpha=90.00 beta=90.00 gamma=90.00
Positions (direct):
As 0.500 0.000 0.000
As 0.000 0.000 0.500
As 0.000 0.500 0.000
Br 0.500 0.500 0.500
Hf 0.000 0.000 0.000

Calculated values
The volume comes out at 27.5 Å³/atom. Its raw formation energy is 17.86 kJ per mole of atoms. For the energy above the most stable polymorph in this dataset, the calculation gives 0.00 kJ per mole of atoms. The total magnetic moment comes out at 0.000 μB per cell. As for the total energy: -4.93 eV/atom.

=====

[4]
A plane-wave DFT calculation with GGA-PBE was carried out for a relaxed structure of CaIr2Ru.

Unit cell a=3.994 b=4.041 c=4.041 alpha=90.00 beta=90.00 gamma=90.00
Positions (direct):
Ir 0.000 0.500 0.500
Ir 0.000 0.000 0.000
Ca 0.500 0.000 0.500
Ru 0.500 0.500 0.000

Calculated values
The volume comes out at 16.3 Å³/atom. For the energy above the most stable polymorph in this dataset, the calculation gives 22.58 kJ per mole of atoms. The total magnetic moment comes out at 0.001 μB per cell. The formation energy is 23.8 kJ per mole of atoms. As for the total energy: -7.00 eV/atom.

=====

[5]
A plane-wave DFT calculation with GGA-PBE was carried out for a relaxed structure of La2LuPd.

Unit cell a=3.688 b=3.688 c=11.024 alpha=80.37 beta=80.37 gamma=60.00
Positions (direct):
La 0.896 0.896 0.312
La 0.104 0.104 0.688
Pd 0.500 0.500 0.500
Lu 0.000 0.000 0.000

Calculated values
The volume comes out at 31.9 Å³/atom. For the energy above the most stable polymorph in this dataset, the calculation gives 26.89 kJ per mole of atoms. The total magnetic moment comes out at 0.000 μB per cell. The formation energy is -4.5 kJ per mole of atoms. As for the total energy: -4.94 eV/atom.

=====

[6]
A plane-wave DFT calculation with GGA-PBE was carried out for a relaxed structure of GdHoHgBi.

Unit cell a=5.394 b=5.394 c=5.394 alpha=60.00 beta=60.00 gamma=60.00
Each line ends with the local moment (μB).
Positions (direct):
Bi 0.750 0.750 0.750  -0.01
Ho 0.500 0.500 0.500  0.23
Hg 0.250 0.250 0.250  0.00
Gd 0.000 0.000 0.000  7.17

Calculated values
The volume comes out at 27.7 Å³/atom. The total magnetic moment comes out at 7.768 μB per cell. The formation energy is -50.1 kJ per mole of atoms. As for the total energy: -6.23 eV/atom.

=====

[7]
A plane-wave DFT calculation with GGA-PBE was carried out for a relaxed structure of Na8B11C5.

Unit cell a=2.807 b=8.590 c=10.294 alpha=90.00 beta=90.00 gamma=90.00
Positions (direct):
B 0.500 0.250 0.058
B 0.500 0.750 0.903
B 0.000 0.750 0.189
B 0.500 0.250 0.433
B 0.500 0.250 0.599
B 0.500 0.750 0.077
B 0.000 0.250 0.831
B 0.000 0.250 0.327
B 0.000 0.750 0.662
B 0.500 0.750 0.423
B 0.000 0.250 0.163
C 0.000 0.750 0.342
C 0.500 0.250 0.909
C 0.000 0.750 0.823
C 0.000 0.250 0.676
C 0.500 0.750 0.582
Na 0.500 0.001 0.252
Na 0.500 0.998 0.749
Na 0.000 0.996 0.997
Na 0.500 0.502 0.749
Na 0.000 0.499 0.502
Na 0.500 0.499 0.252
Na 0.000 0.504 0.997
Na 0.000 0.001 0.502

Calculated values
The volume comes out at 10.3 Å³/atom. For the energy above the most stable polymorph in this dataset, the calculation gives 0.44 kJ per mole of atoms. The total magnetic moment comes out at 0.000 μB per cell. The formation energy is 10.2 kJ per mole of atoms. As for the total energy: -5.32 eV/atom.

=====

[8]
A plane-wave DFT calculation with GGA-PBE was carried out for a relaxed structure of Ac6Co3Pd.

Unit cell a=4.227 b=12.207 c=13.011 alpha=113.13 beta=90.00 gamma=90.00
Positions (direct):
Co 0.750 0.093 0.162
Co 0.750 0.835 0.443
Co 0.250 0.907 0.838
Co 0.250 0.504 0.272
Co 0.750 0.496 0.728
Co 0.250 0.165 0.557
Ac 0.750 0.743 0.765
Ac 0.250 0.910 0.067
Ac 0.750 0.452 0.105
Ac 0.750 0.252 0.725
Ac 0.750 0.090 0.933
Ac 0.250 0.548 0.895
Ac 0.250 0.405 0.569
Ac 0.750 0.595 0.431
Ac 0.250 0.748 0.275
Ac 0.250 0.257 0.235
Ac 0.250 0.934 0.605
Ac 0.750 0.066 0.395
Pd 0.750 0.705 0.072
Pd 0.250 0.295 0.928

Calculated values
The volume comes out at 30.9 Å³/atom. The total magnetic moment comes out at 0.000 μB per cell. The formation energy is -14.8 kJ per mole of atoms. As for the total energy: -5.27 eV/atom.

=====

[9]
A plane-wave DFT calculation with GGA-PBE was carried out for a relaxed structure of TiPO4.

Unit cell a=4.979 b=6.011 c=9.975 alpha=90.00 beta=90.00 gamma=90.00
Each line ends with the local moment (μB).
Positions (direct):
P 0.593 0.750 0.902  0.01
P 0.093 0.250 0.598  0.01
P 0.407 0.250 0.098  0.01
P 0.907 0.750 0.402  0.01
O 0.763 0.951 0.331  -0.01
O 0.853 0.750 0.553  -0.01
O 0.210 0.750 0.375  -0.01
O 0.737 0.549 0.831  -0.01
O 0.710 0.250 0.125  -0.01
O 0.763 0.549 0.331  -0.01
O 0.290 0.750 0.875  -0.01
O 0.647 0.750 0.053  -0.01
O 0.737 0.951 0.831  -0.01
O 0.263 0.049 0.169  -0.01
O 0.147 0.250 0.447  -0.01
O 0.237 0.451 0.669  -0.01
O 0.263 0.451 0.169  -0.01
O 0.353 0.250 0.947  -0.01
O 0.790 0.250 0.625  -0.01
O 0.237 0.049 0.669  -0.01
Ti 0.527 0.250 0.769  0.92
Ti 0.027 0.750 0.731  0.92
Ti 0.473 0.750 0.231  0.92
Ti 0.973 0.250 0.269  0.92

Calculated values
The volume comes out at 12.4 Å³/atom. Its raw formation energy is -238.69 kJ per mole of atoms. The total magnetic moment comes out at 4.000 μB per cell. As for the total energy: -8.00 eV/atom.

=====

[10]
A plane-wave DFT calculation with GGA-PBE was carried out for a relaxed structure of Sm5Zn2.

Unit cell a=6.861 b=7.223 c=9.446 alpha=112.48 beta=111.29 gamma=90.00
Positions (direct):
Sm 0.413 0.055 0.825
Sm 0.913 0.771 0.825
Sm 0.981 0.731 0.461
Sm 0.587 0.945 0.175
Sm 0.087 0.229 0.175
Sm 0.250 0.500 0.000
Sm 0.519 0.269 0.539
Sm 0.481 0.731 0.461
Sm 0.750 0.500 0.000
Sm 0.019 0.269 0.539
Zn 0.882 0.136 0.764
Zn 0.618 0.372 0.236
Zn 0.382 0.628 0.764
Zn 0.118 0.864 0.236

Calculated values
The volume comes out at 28.4 Å³/atom. For the energy above the most stable polymorph in this dataset, the calculation gives 1.82 kJ per mole of atoms. The total magnetic moment comes out at 0.000 μB per cell. The formation energy is -9.4 kJ per mole of atoms. As for the total energy: -3.83 eV/atom.

=====

[11]
A plane-wave DFT calculation with GGA-PBE was carried out for a relaxed structure of CsPr2I6.

Unit cell a=9.152 b=7.978 c=7.978 alpha=120.00 beta=90.00 gamma=90.00
Each line ends with the local moment (μB).
Positions (direct):
Pr 0.500 0.333 0.667  0.26
Pr 0.500 0.667 0.333  0.26
I 0.292 0.642 0.000  0.00
I 0.292 0.358 0.358  0.00
I 0.708 0.358 0.000  0.00
I 0.708 0.000 0.358  0.00
I 0.708 0.642 0.642  0.00
I 0.292 0.000 0.642  0.00
Cs 0.000 0.000 0.000  0.00

Calculated values
The volume comes out at 56.1 Å³/atom. Its raw formation energy is -133.64 kJ per mole of atoms. The total magnetic moment comes out at 1.063 μB per cell. As for the total energy: -3.58 eV/atom.

=====

[12]
A plane-wave DFT calculation with GGA-PBE was carried out for a relaxed structure of Li6Au2N.

Unit cell a=3.192 b=6.622 c=6.639 alpha=119.91 beta=90.00 gamma=90.00
Positions (direct):
Li 0.000 0.000 0.202
Li 0.500 0.001 0.661
Li 0.500 0.340 0.339
Li 0.000 0.797 0.798
Li 0.500 0.658 0.000
Li 0.000 0.204 0.000
N 0.500 0.000 0.000
Au 0.000 0.667 0.334
Au 0.000 0.333 0.666

Calculated values
The volume comes out at 13.5 Å³/atom. Its raw formation energy is -37.36 kJ per mole of atoms. For the energy above the most stable polymorph in this dataset, the calculation gives 0.00 kJ per mole of atoms. The total magnetic moment comes out at 0.000 μB per cell. As for the total energy: -3.32 eV/atom.

=====

[13]
A plane-wave DFT calculation with GGA-PBE was carried out for a relaxed structure of ScMoRh2.

Unit cell a=8.963 b=8.963 c=8.963 alpha=18.53 beta=18.53 gamma=18.53
Positions (direct):
Rh 0.000 0.000 0.000
Rh 0.500 0.500 0.500
Sc 0.250 0.250 0.250
Mo 0.750 0.750 0.750

Calculated values
The volume comes out at 15.9 Å³/atom. The total magnetic moment comes out at 0.000 μB per cell. The formation energy is -16.6 kJ per mole of atoms. As for the total energy: -8.14 eV/atom.

=====

[14]
A plane-wave DFT calculation with GGA-PBE was carried out for a relaxed structure of ZrRhW3.

Unit cell a=4.719 b=4.719 c=4.719 alpha=90.00 beta=90.00 gamma=90.00
Positions (direct):
W 0.000 0.500 0.000
W 0.000 0.000 0.500
W 0.500 0.000 0.000
Zr 0.500 0.500 0.500
Rh 0.000 0.000 0.000

Calculated values
The volume comes out at 21.0 Å³/atom. For the energy above the most stable polymorph in this dataset, the calculation gives 0.00 kJ per mole of atoms. The total magnetic moment comes out at 0.000 μB per cell. The formation energy is 152.4 kJ per mole of atoms. As for the total energy: -9.37 eV/atom.

=====

[15]
A plane-wave DFT calculation with GGA-PBE was carried out for a relaxed structure of UAgHgI6.

Unit cell a=7.474 b=7.474 c=18.604 alpha=90.00 beta=90.00 gamma=120.00
Each line ends with the local moment (μB).
Positions (direct):
U 0.667 0.333 0.250  1.41
U 0.333 0.667 0.750  1.41
I 0.013 0.351 0.656  -0.05
I 0.338 0.351 0.844  -0.05
I 0.987 0.649 0.344  -0.05
I 0.351 0.013 0.156  -0.05
I 0.987 0.338 0.156  -0.05
I 0.662 0.649 0.156  -0.05
I 0.649 0.987 0.844  -0.05
I 0.649 0.662 0.656  -0.05
I 0.013 0.662 0.844  -0.05
I 0.351 0.338 0.344  -0.05
I 0.338 0.987 0.656  -0.05
I 0.662 0.013 0.344  -0.05
Ag 0.333 0.667 0.250  -0.02
Ag 0.667 0.333 0.750  -0.02
Hg 0.000 0.000 0.000  -0.02
Hg 0.000 0.000 0.500  -0.02

Calculated values
The volume comes out at 50.0 Å³/atom. Its raw formation energy is -51.37 kJ per mole of atoms. The total magnetic moment comes out at 2.000 μB per cell. As for the total energy: -3.17 eV/atom.

=====

[16]
A plane-wave DFT calculation with GGA-PBE was carried out for a relaxed structure of Ca4Be.

Unit cell a=5.716 b=5.716 c=5.716 alpha=90.00 beta=90.00 gamma=90.00
Positions (direct):
Ca 0.000 0.500 0.500
Ca 0.000 0.000 0.000
Ca 0.500 0.000 0.500
Ca 0.500 0.500 0.000
Be 0.500 0.500 0.500

Calculated values
The volume comes out at 37.3 Å³/atom. For the energy above the most stable polymorph in this dataset, the calculation gives 0.00 kJ per mole of atoms. The total magnetic moment comes out at 0.085 μB per cell. The formation energy is 23.7 kJ per mole of atoms. As for the total energy: -2.10 eV/atom.

=====

[17]
A plane-wave DFT calculation with GGA-PBE was carried out for a relaxed structure of Rb2S2NO6.

Unit cell a=7.883 b=7.883 c=7.783 alpha=94.44 beta=94.44 gamma=59.14
Each line ends with the local moment (μB).
Positions (direct):
Rb 0.046 0.666 0.319  0.00
Rb 0.334 0.954 0.181  0.00
Rb 0.666 0.046 0.819  0.00
Rb 0.954 0.334 0.681  0.00
N 0.405 0.595 0.750  0.47
N 0.595 0.405 0.250  0.47
O 0.724 0.600 0.138  0.03
O 0.276 0.400 0.862  0.03
O 0.835 0.267 0.011  0.10
O 0.400 0.276 0.362  0.03
O 0.957 0.312 0.301  0.07
O 0.688 0.043 0.199  0.07
O 0.600 0.724 0.638  0.03
O 0.043 0.688 0.699  0.07
O 0.165 0.733 0.989  0.10
O 0.267 0.835 0.511  0.10
O 0.312 0.957 0.801  0.07
O 0.733 0.165 0.489  0.10
S 0.607 0.207 0.330  -0.01
S 0.793 0.393 0.170  -0.01
S 0.207 0.607 0.830  -0.01
S 0.393 0.793 0.670  -0.01

Calculated values
The volume comes out at 18.8 Å³/atom. Its raw formation energy is -128.39 kJ per mole of atoms. The total magnetic moment comes out at 2.223 μB per cell. As for the total energy: -5.72 eV/atom.

=====

[18]
A plane-wave DFT calculation with GGA-PBE was carried out for a relaxed structure of Tb2DyBi3.

Unit cell a=4.485 b=6.337 c=7.768 alpha=114.07 beta=106.78 gamma=90.00
Positions (direct):
Bi 0.166 0.666 0.832
Bi 0.834 0.334 0.168
Bi 0.500 0.000 0.500
Tb 0.167 0.167 0.834
Tb 0.833 0.833 0.166
Dy 0.500 0.500 0.500

Calculated values
The volume comes out at 31.9 Å³/atom. The total magnetic moment comes out at 0.000 μB per cell. The formation energy is -84.2 kJ per mole of atoms. As for the total energy: -5.12 eV/atom.

=====

[19]
A plane-wave DFT calculation with GGA-PBE was carried out for a relaxed structure of CdGeBi.

Unit cell a=3.274 b=5.206 c=5.206 alpha=120.00 beta=90.00 gamma=90.00
Positions (direct):
Ge 0.315 0.667 0.333
Bi 0.609 0.333 0.667
Cd 0.076 0.000 0.000

Calculated values
The volume comes out at 25.6 Å³/atom. For the energy above the most stable polymorph in this dataset, the calculation gives 4.50 kJ per mole of atoms. The total magnetic moment comes out at 0.000 μB per cell. The formation energy is 22.5 kJ per mole of atoms. As for the total energy: -2.90 eV/atom.

=====

[20]
A plane-wave DFT calculation with GGA-PBE was carried out for a relaxed structure of Tm2Be2SnRh5.

Unit cell a=3.286 b=9.660 c=9.660 alpha=90.00 beta=90.00 gamma=90.00
Positions (direct):
Rh 0.500 0.069 0.783
Rh 0.500 0.931 0.217
Rh 0.500 0.500 0.000
Rh 0.500 0.569 0.717
Rh 0.500 0.783 0.931
Rh 0.500 0.431 0.283
Rh 0.500 0.717 0.431
Rh 0.500 0.283 0.569
Rh 0.500 0.217 0.069
Rh 0.500 0.000 0.500
Be 0.000 0.881 0.381
Be 0.000 0.619 0.881
Be 0.000 0.119 0.619
Be 0.000 0.381 0.119
Tm 0.000 0.676 0.176
Tm 0.000 0.176 0.324
Tm 0.000 0.324 0.824
Tm 0.000 0.824 0.676
Sn 0.000 0.000 0.000
Sn 0.000 0.500 0.500

Calculated values
The volume comes out at 15.3 Å³/atom. The total magnetic moment comes out at 0.000 μB per cell. The formation energy is -82.6 kJ per mole of atoms. As for the total energy: -6.57 eV/atom.

=====

[21]
A plane-wave DFT calculation with GGA-PBE was carried out for a relaxed structure of CeGdO2.

Unit cell a=3.479 b=3.479 c=6.111 alpha=73.46 beta=73.46 gamma=60.00
Each line ends with the local moment (μB).
Positions (direct):
Gd 0.500 0.500 0.500  6.86
O 0.756 0.756 0.733  -0.01
O 0.244 0.244 0.267  -0.01
Ce 0.000 0.000 0.000  -0.26

Calculated values
The volume comes out at 15.1 Å³/atom. Its raw formation energy is -274.25 kJ per mole of atoms. The total magnetic moment comes out at 6.556 μB per cell. As for the total energy: -10.33 eV/atom.

=====

[22]
A plane-wave DFT calculation with GGA-PBE was carried out for a relaxed structure of Pa4PRuSe2.

Unit cell a=3.900 b=7.112 c=7.049 alpha=72.21 beta=90.00 gamma=90.00
Positions (direct):
Se 0.500 0.000 0.500
Se 0.000 0.000 0.000
Pa 0.000 0.275 0.239
Pa 0.500 0.271 0.745
Pa 0.500 0.729 0.255
Pa 0.000 0.725 0.761
P 0.000 0.500 0.500
Ru 0.500 0.500 0.000

Calculated values
The volume comes out at 23.3 Å³/atom. Its raw formation energy is -100.25 kJ per mole of atoms. The total magnetic moment comes out at 0.000 μB per cell. As for the total energy: -8.49 eV/atom.